# Ba3Li3Zn8

Crystalline Ba3Li3Zn8 at its relaxed geometry (PBE, Alexandria via LeMat-Bulk).

```
Ba3Li3Zn8
1.0
-2.329 4.937 7.356
2.329 -4.937 7.356
2.329 4.937 -7.356
Ba Li Zn
3 3 8
direct
0.000 0.000 0.000
0.293 0.293 0.000
0.707 0.707 0.000
0.297 0.500 0.797
0.500 0.000 0.500
0.703 0.500 0.203
0.009 0.663 0.346
0.150 0.868 0.282
0.317 0.663 0.654
0.414 0.132 0.282
0.586 0.868 0.718
0.683 0.337 0.346
0.850 0.132 0.718
0.991 0.337 0.654
```

Properties
**Electronic total energy**: -1.690 eV/atom
**Theoretical density**: 4.692 g cm⁻³